(1)
First-principles (GGA-PBE) data for an optimized crystal structure of TbErZn3, as listed in Alexandria.

Summary:
Formation enthalpy at 0 K in kcal/mol of atoms: -7.8
ρ in g/cm3: 8.1
M_tot in μB/cell: 0.0
Volume in Å³/f.u.: 107.3
Fermi-level density of states in states/eV/f.u.: 5.14

a b c (Å): 3.601 26.702 4.463
angles (deg): 90.00 90.00 90.00
Space group Cmcm (No. 63)
Inequivalent atoms, fractional coordinates:
Tb  0.000  0.073  0.250 x4
Er  0.000  0.210  0.750 x4
Zn  0.000  0.327  0.750 x4
Zn  0.000  0.381  0.250 x4
Zn  0.000  0.477  0.250 x4


(2)
First-principles (GGA-PBE) data for an optimized crystal structure of Tm6SbTe3P2, as listed in Alexandria.

Summary:
ρ in g/cm3: 8.4
M_tot in μB/cell: 0.0
Volume in Å³/f.u.: 313.7
Fermi-level density of states in states/eV/f.u.: 4.12
ΔE_f (raw) in eV/atom: -1.383

a b c (Å): 18.444 4.139 8.494
angles (deg): 90.00 104.61 90.00
Space group C2/m (No. 12)
Inequivalent atoms, fractional coordinates:
Tm  0.017  0.000  0.255 x4
Tm  0.170  0.500  0.123 x4
Tm  0.178  0.500  0.564 x4
Sb  0.000  0.500  0.000 x2
Te  0.000  0.500  0.500 x2
Te  0.161  0.000  0.834 x4
P  0.169  0.000  0.339 x4


(3)
First-principles (GGA-PBE) data for an optimized crystal structure of K2MnCl6, as listed in Alexandria.

Summary:
ρ in g/cm3: 2.4
M_tot in μB/cell: 12.2
Volume in Å³/f.u.: 240.8
ΔE_f (raw) in eV/atom: -1.404

a b c (Å): 9.876 9.876 9.876
angles (deg): 90.00 90.00 90.00
Space group Fm-3m (No. 225)
Inequivalent atoms, fractional coordinates:
K  0.250  0.250  0.250 x8
Mn  0.000  0.000  0.000 x4
Cl  0.000  0.000  0.232 x24


(4)
First-principles (GGA-PBE) data for an optimized crystal structure of LiSmEr2Te4, as listed in Alexandria.

Summary:
ρ in g/cm3: 7.2
M_tot in μB/cell: 0.0
Volume in Å³/f.u.: 232.4
Fermi-level density of states in states/eV/f.u.: 3.00
ΔE_f (raw) in eV/atom: -1.299

a b c (Å): 7.538 4.320 7.555
angles (deg): 90.00 109.14 90.00
Space group P2/m (No. 10)
Inequivalent atoms, fractional coordinates:
Li  0.000  0.000  0.000 x1
Sm  0.000  0.500  0.500 x1
Er  0.500  0.000  0.500 x1
Er  0.500  0.500  0.000 x1
Te  0.249  0.500  0.242 x2
Te  0.253  0.000  0.760 x2